No. 1
Ir2WAu2 after structural relaxation. Source: Alexandria via LeMat-Bulk, functional PBE-GGA.

a = 3.5865 Å, b = 3.5865 Å, c = 13.9671 Å
α = 90.00°, β = 90.00°, γ = 90.00°
Positions (direct):
Ir (0.0000, 0.5000, 0.2500)
Ir (0.0000, 0.5000, 0.7500)
Ir (0.5000, 0.0000, 0.2500)
Ir (0.5000, 0.0000, 0.7500)
W (0.0000, 0.0000, 0.0000)
W (0.5000, 0.5000, 0.5000)
Au (0.0000, 0.0000, 0.4019)
Au (0.0000, 0.0000, 0.5981)
Au (0.5000, 0.5000, 0.0981)
Au (0.5000, 0.5000, 0.9019)

Properties
D(E_F)	1.336	states/eV per atom
E_form	1.046	eV per atom


No. 2
MgCuIr3 after structural relaxation. Source: Alexandria via LeMat-Bulk, functional PBE-GGA.

a = 4.5034 Å, b = 4.5034 Å, c = 4.5034 Å
α = 90.00°, β = 90.00°, γ = 90.00°
Positions (direct):
Mg (0.0000, 0.0000, 0.0000)
Cu (0.5000, 0.5000, 0.5000)
Ir (0.0000, 0.5000, 0.5000)
Ir (0.5000, 0.0000, 0.5000)
Ir (0.5000, 0.5000, 0.0000)

Properties
D(E_F)	1.316	states/eV per atom
E_form	1.217	eV per atom


No. 3
MoPt2I after structural relaxation. Source: Alexandria via LeMat-Bulk, functional PBE-GGA.

a = 6.6446 Å, b = 6.6446 Å, c = 9.1319 Å
α = 90.00°, β = 90.00°, γ = 90.00°
Positions (direct):
Mo (0.0000, 0.0000, 0.0000)
Mo (0.0000, 0.5000, 0.2500)
Mo (0.5000, 0.0000, 0.7500)
Mo (0.5000, 0.5000, 0.5000)
Pt (0.2069, 0.2500, 0.1250)
Pt (0.2500, 0.7069, 0.3750)
Pt (0.2500, 0.7931, 0.8750)
Pt (0.2931, 0.2500, 0.6250)
Pt (0.7069, 0.7500, 0.6250)
Pt (0.7500, 0.2069, 0.8750)
Pt (0.7500, 0.2931, 0.3750)
Pt (0.7931, 0.7500, 0.1250)
I (0.0000, 0.0000, 0.5000)
I (0.0000, 0.5000, 0.7500)
I (0.5000, 0.0000, 0.2500)
I (0.5000, 0.5000, 0.0000)

Properties
D(E_F)	0.537	states/eV per atom
raw formation energy	0.607	eV per atom


No. 4
Dy5HoAu6 after structural relaxation. Source: Alexandria via LeMat-Bulk, functional PBE-GGA.

a = 8.8244 Å, b = 8.8244 Å, c = 5.0754 Å
α = 106.68°, β = 106.68°, γ = 120.14°
Positions (direct):
Dy (0.0000, 0.0000, 0.0000)
Dy (0.1664, 0.8336, 0.5000)
Dy (0.3330, 0.6670, 0.0000)
Dy (0.6670, 0.3330, 0.0000)
Dy (0.8336, 0.1664, 0.5000)
Ho (0.5000, 0.5000, 0.5000)
Au (0.0850, 0.4172, 0.2511)
Au (0.2521, 0.2521, 0.7522)
Au (0.4172, 0.0850, 0.2511)
Au (0.5828, 0.9150, 0.7489)
Au (0.7479, 0.7479, 0.2478)
Au (0.9150, 0.5828, 0.7489)

Properties
D(E_F)	0.497	states/eV per atom
E_form	-0.864	eV per atom


No. 5
Mg2MoAsSe after structural relaxation. Source: Alexandria via LeMat-Bulk, functional PBE-GGA.

a = 4.9236 Å, b = 4.9236 Å, c = 5.3583 Å
α = 90.00°, β = 90.00°, γ = 90.00°
Positions (direct):
Mg (0.0000, 0.5000, 0.0000)
Mg (0.5000, 0.0000, 0.0000)
Mo (0.0000, 0.0000, 0.5000)
As (0.5000, 0.5000, 0.0000)
Se (0.5000, 0.5000, 0.5000)

Properties
D(E_F)	0.380	states/eV per atom
raw formation energy	0.775	eV per atom


No. 6
Ho7In2Co2 after structural relaxation. Source: Alexandria via LeMat-Bulk, functional PBE-GGA.

a = 9.6800 Å, b = 9.6800 Å, c = 9.6800 Å
α = 158.75°, β = 65.39°, γ = 118.97°
Positions (direct):
Ho (0.0000, 0.0000, 0.0000)
Ho (0.3037, 0.4406, 0.8631)
Ho (0.3118, 0.6311, 0.6807)
Ho (0.5775, 0.4406, 0.1369)
Ho (0.6285, 0.2824, 0.3461)
Ho (0.9362, 0.2824, 0.6539)
Ho (0.9503, 0.6311, 0.3193)
In (0.2677, 0.7677, 0.5000)
In (0.6745, 0.6745, 0.0000)
Co (0.1770, 0.9393, 0.2377)
Co (0.7015, 0.9393, 0.7623)

Properties
D(E_F)	0.978	states/eV per atom
E_form	-0.245	eV per atom


No. 7
BaAcPbO4 after structural relaxation. Source: Alexandria via LeMat-Bulk, functional PBE-GGA.

a = 7.4202 Å, b = 7.4202 Å, c = 7.4202 Å
α = 118.94°, β = 117.06°, γ = 93.51°
Positions (direct):
Ba (0.3683, 0.1183, 0.2500)
Ba (0.6317, 0.8817, 0.7500)
Ac (0.0000, 0.5000, 0.5000)
Ac (0.5000, 0.5000, 0.0000)
Pb (0.0000, 0.0000, 0.5000)
Pb (0.0000, 0.5000, 0.0000)
O (0.1992, 0.7491, 0.4500)
O (0.2009, 0.2509, 0.9500)
O (0.2398, 0.2781, 0.5383)
O (0.2398, 0.7015, 0.9617)
O (0.7602, 0.2985, 0.0383)
O (0.7602, 0.7219, 0.4617)
O (0.7991, 0.7491, 0.0500)
O (0.8008, 0.2509, 0.5500)

Properties
D(E_F)	0.175	states/eV per atom
raw formation energy	-2.222	eV per atom


No. 8
LaSm8Hg6 after structural relaxation. Source: Alexandria via LeMat-Bulk, functional PBE-GGA.

a = 8.3302 Å, b = 8.3302 Å, c = 8.3302 Å
α = 66.75°, β = 66.75°, γ = 66.75°
Positions (direct):
La (0.0000, 0.0000, 0.0000)
Sm (0.1178, 0.7860, 0.4398)
Sm (0.2140, 0.5602, 0.8822)
Sm (0.3313, 0.3313, 0.3313)
Sm (0.4398, 0.1178, 0.7860)
Sm (0.5602, 0.8822, 0.2140)
Sm (0.6687, 0.6687, 0.6687)
Sm (0.7860, 0.4398, 0.1178)
Sm (0.8822, 0.2140, 0.5602)
Hg (0.0563, 0.3973, 0.7132)
Hg (0.2868, 0.9437, 0.6027)
Hg (0.3973, 0.7132, 0.0563)
Hg (0.6027, 0.2868, 0.9437)
Hg (0.7132, 0.0563, 0.3973)
Hg (0.9437, 0.6027, 0.2868)

Properties
D(E_F)	1.294	states/eV per atom
E_form	-0.245	eV per atom


No. 9
Zn2SnB2Rh5 after structural relaxation. Source: Alexandria via LeMat-Bulk, functional PBE-GGA.

a = 9.5937 Å, b = 9.5937 Å, c = 2.9342 Å
α = 90.00°, β = 90.00°, γ = 90.00°
Positions (direct):
Zn (0.1755, 0.3245, 0.0000)
Zn (0.3245, 0.8245, 0.0000)
Zn (0.6755, 0.1755, 0.0000)
Zn (0.8245, 0.6755, 0.0000)
Sn (0.0000, 0.0000, 0.0000)
Sn (0.5000, 0.5000, 0.0000)
B (0.1224, 0.6224, 0.0000)
B (0.3776, 0.1224, 0.0000)
B (0.6224, 0.8776, 0.0000)
B (0.8776, 0.3776, 0.0000)
Rh (0.0000, 0.5000, 0.5000)
Rh (0.0766, 0.7797, 0.5000)
Rh (0.2203, 0.0766, 0.5000)
Rh (0.2797, 0.5766, 0.5000)
Rh (0.4234, 0.2797, 0.5000)
Rh (0.5000, 0.0000, 0.5000)
Rh (0.5766, 0.7203, 0.5000)
Rh (0.7203, 0.4234, 0.5000)
Rh (0.7797, 0.9234, 0.5000)
Rh (0.9234, 0.2203, 0.5000)

Properties
D(E_F)	0.333	states/eV per atom
E_form	-0.375	eV per atom


No. 10
Th2CdGe4Pd3 after structural relaxation. Source: Alexandria via LeMat-Bulk, functional PBE-GGA.

a = 4.3354 Å, b = 4.3354 Å, c = 10.6189 Å
α = 90.00°, β = 90.00°, γ = 90.00°
Positions (direct):
Th (0.0000, 0.5000, 0.2387)
Th (0.5000, 0.0000, 0.7613)
Cd (0.0000, 0.0000, 0.5000)
Ge (0.0000, 0.0000, 0.0000)
Ge (0.0000, 0.5000, 0.6466)
Ge (0.5000, 0.0000, 0.3534)
Ge (0.5000, 0.5000, 0.0000)
Pd (0.0000, 0.5000, 0.8772)
Pd (0.5000, 0.0000, 0.1228)
Pd (0.5000, 0.5000, 0.5000)

Properties
D(E_F)	0.341	states/eV per atom
E_form	-0.676	eV per atom


No. 11
CaTbTm2 after structural relaxation. Source: Alexandria via LeMat-Bulk, functional PBE-GGA.

a = 3.5611 Å, b = 3.5611 Å, c = 35.7842 Å
α = 90.00°, β = 90.00°, γ = 120.00°
Positions (direct):
Ca (0.0000, 0.0000, 0.0000)
Ca (0.3333, 0.6667, 0.6667)
Ca (0.6667, 0.3333, 0.3333)
Tb (0.0000, 0.0000, 0.1657)
Tb (0.3333, 0.6667, 0.8323)
Tb (0.6667, 0.3333, 0.4990)
Tm (0.0000, 0.0000, 0.5779)
Tm (0.0000, 0.0000, 0.7542)
Tm (0.3333, 0.6667, 0.2446)
Tm (0.3333, 0.6667, 0.4209)
Tm (0.6667, 0.3333, 0.0876)
Tm (0.6667, 0.3333, 0.9112)

Properties
D(E_F)	1.418	states/eV per atom
E_form	0.073	eV per atom


No. 12
ZrFe2PtS after structural relaxation. Source: Alexandria via LeMat-Bulk, functional PBE-GGA.

a = 4.0882 Å, b = 4.0882 Å, c = 4.6659 Å
α = 90.00°, β = 90.00°, γ = 90.00°
Positions (direct):
Zr (0.0000, 0.0000, 0.0000)
Fe (0.0000, 0.5000, 0.5000)
Fe (0.5000, 0.0000, 0.5000)
Pt (0.5000, 0.5000, 0.0000)
S (0.5000, 0.5000, 0.5000)

Properties
D(E_F)	1.046	states/eV per atom
raw formation energy	0.055	eV per atom


No. 13
LaAsIr2 after structural relaxation. Source: Alexandria via LeMat-Bulk, functional PBE-GGA.

a = 3.9177 Å, b = 4.8847 Å, c = 8.0745 Å
α = 90.00°, β = 90.00°, γ = 90.00°
Positions (direct):
La (0.0000, 0.0000, 0.0000)
La (0.5000, 0.5000, 0.5000)
As (0.0000, 0.0000, 0.5000)
As (0.5000, 0.5000, 0.0000)
Ir (0.0000, 0.5000, 0.2239)
Ir (0.0000, 0.5000, 0.7761)
Ir (0.5000, 0.0000, 0.2761)
Ir (0.5000, 0.0000, 0.7239)

Properties
D(E_F)	0.581	states/eV per atom
E_form	-0.164	eV per atom


No. 14
MoIBr after structural relaxation. Source: Alexandria via LeMat-Bulk, functional PBE-GGA.

a = 4.3594 Å, b = 5.5817 Å, c = 8.3321 Å
α = 108.89°, β = 91.21°, γ = 92.42°
Positions (direct):
Mo (0.1798, 0.3612, 0.0000)
Mo (0.8202, 0.6388, 0.0000)
I (0.4814, 0.3636, 0.7193)
I (0.5186, 0.6364, 0.2807)
Br (0.0135, 0.0992, 0.2044)
Br (0.9865, 0.9008, 0.7956)

Properties
raw formation energy	-0.292	eV per atom


No. 15
LaEu after structural relaxation. Source: Alexandria via LeMat-Bulk, functional PBE-GGA.

a = 3.8099 Å, b = 3.8099 Å, c = 10.8408 Å
α = 90.00°, β = 90.00°, γ = 90.00°
Positions (direct):
La (0.2500, 0.2500, 0.1150)
La (0.7500, 0.7500, 0.8850)
Eu (0.2500, 0.2500, 0.6301)
Eu (0.7500, 0.7500, 0.3699)

Properties
D(E_F)	1.181	states/eV per atom
E_form	0.019	eV per atom


No. 16
CaRu3Pb after structural relaxation. Source: Alexandria via LeMat-Bulk, functional PBE-GGA.

a = 5.0307 Å, b = 5.0307 Å, c = 5.0307 Å
α = 90.00°, β = 90.00°, γ = 90.00°
Positions (direct):
Ca (0.0000, 0.0000, 0.0000)
Ru (0.0000, 0.5000, 0.5000)
Ru (0.5000, 0.0000, 0.5000)
Ru (0.5000, 0.5000, 0.0000)
Pb (0.5000, 0.5000, 0.5000)

Properties
D(E_F)	1.468	states/eV per atom
E_form	1.497	eV per atom


No. 17
IrOsSe after structural relaxation. Source: Alexandria via LeMat-Bulk, functional PBE-GGA.

a = 2.9473 Å, b = 2.9473 Å, c = 12.7188 Å
α = 90.00°, β = 90.00°, γ = 120.00°
Positions (direct):
Ir (0.0000, 0.0000, 0.0000)
Ir (0.0000, 0.0000, 0.5000)
Os (0.3333, 0.6667, 0.1664)
Os (0.3333, 0.6667, 0.8336)
Se (0.0000, 0.0000, 0.3118)
Se (0.0000, 0.0000, 0.6882)

Properties
D(E_F)	0.972	states/eV per atom
raw formation energy	0.468	eV per atom


No. 18
Ac2Zn3Ge after structural relaxation. Source: Alexandria via LeMat-Bulk, functional PBE-GGA.

a = 9.0767 Å, b = 8.9467 Å, c = 6.2418 Å
α = 70.86°, β = 68.62°, γ = 40.52°
Positions (direct):
Ac (0.2470, 0.7530, 0.7530)
Ac (0.2500, 0.2500, 0.2500)
Ac (0.7500, 0.7500, 0.7500)
Ac (0.7530, 0.2470, 0.2470)
Zn (0.1664, 0.1664, 0.8336)
Zn (0.1680, 0.6658, 0.3342)
Zn (0.3342, 0.8320, 0.1680)
Zn (0.6658, 0.1680, 0.8320)
Zn (0.8320, 0.3342, 0.6658)
Zn (0.8336, 0.8336, 0.1664)
Ge (0.3331, 0.3331, 0.6669)
Ge (0.6669, 0.6669, 0.3331)

Properties
D(E_F)	0.842	states/eV per atom
E_form	-0.455	eV per atom


No. 19
Pm8ZnP3I4 after structural relaxation. Source: Alexandria via LeMat-Bulk, functional PBE-GGA.

a = 9.0693 Å, b = 9.0693 Å, c = 9.0693 Å
α = 55.41°, β = 55.41°, γ = 55.41°
Positions (direct):
Pm (0.2275, 0.7336, 0.7336)
Pm (0.2293, 0.2293, 0.2293)
Pm (0.2664, 0.2664, 0.7725)
Pm (0.2664, 0.7725, 0.2664)
Pm (0.7336, 0.2275, 0.7336)
Pm (0.7336, 0.7336, 0.2275)
Pm (0.7707, 0.7707, 0.7707)
Pm (0.7725, 0.2664, 0.2664)
Zn (0.5000, 0.5000, 0.5000)
P (0.0000, 0.0000, 0.5000)
P (0.0000, 0.5000, 0.0000)
P (0.5000, 0.0000, 0.0000)
I (0.0000, 0.0000, 0.0000)
I (0.0000, 0.5000, 0.5000)
I (0.5000, 0.0000, 0.5000)
I (0.5000, 0.5000, 0.0000)

Properties
D(E_F)	0.557	states/eV per atom
raw formation energy	-1.149	eV per atom